(1)
The following is a GGA-PBE calculation of a relaxed Ac2TcH crystal, from Alexandria via LeMat-Bulk.

Computed properties:
The calculation puts the density of states at the Fermi level at 1.1754 states/eV/atom. The value obtained for the calculated total energy is -5.26 eV per atom.

a b c (Å): 3.9725 3.9725 22.1400
angles (deg): 90.00 90.00 120.00
Space group R-3m (No. 166, hexagonal axes)
Asymmetric unit:
Ac  0.0000  0.0000  0.2431 (multiplicity 6)
Tc  0.0000  0.0000  0.0000 (multiplicity 3)
H  0.0000  0.0000  0.5000 (multiplicity 3)

---

(2)
The following is a GGA-PBE calculation of a relaxed AcTc2H7 crystal, from Alexandria via LeMat-Bulk.

Computed properties:
The calculation puts the density of states at the Fermi level at 0.4617 states/eV/atom. The value obtained for the calculated total energy is -4.93 eV per atom.

a b c (Å): 5.359 9.429 3.677
angles (deg): 90.00 90.00 90.00
Space group Cmmm (No. 65)
Asymmetric unit:
Ac  0.000  0.000  0.000 (multiplicity 2)
Tc  0.000  0.313  0.500 (multiplicity 4)
H  0.000  0.338  0.000 (multiplicity 4)
H  0.000  0.500  0.500 (multiplicity 2)
H  0.177  0.147  0.500 (multiplicity 8)

---

(3)
The following is a GGA-PBE calculation of a relaxed AcTcH crystal, from Alexandria via LeMat-Bulk.

Computed properties:
The calculation puts the density of states at the Fermi level at 0.6599 states/eV/atom. The value obtained for the calculated total energy is -5.76 eV per atom.

a b c (Å): 11.466 3.466 7.390
angles (deg): 90.00 126.62 90.00
Space group C2/m (No. 12)
Asymmetric unit:
Ac  0.230  0.000  0.232 (multiplicity 4)
Tc  0.005  0.000  0.662 (multiplicity 4)
H  0.058  0.500  0.799 (multiplicity 4)

---

(4)
The following is a GGA-PBE calculation of a relaxed AcTcH6 crystal, from Alexandria via LeMat-Bulk.

Computed properties:
The calculation puts the density of states at the Fermi level at 0.3709 states/eV/atom. The value obtained for the calculated total energy is -4.41 eV per atom.

a b c (Å): 5.1317 5.1317 9.9625
angles (deg): 90.00 90.00 120.00
Space group R-3m (No. 166, hexagonal axes)
Asymmetric unit:
Ac  0.0000  0.0000  0.0000 (multiplicity 3)
Tc  0.0000  0.0000  0.5000 (multiplicity 3)
H  0.0363  0.5182  0.8973 (multiplicity 18)

---

(5)
The following is a GGA-PBE calculation of a relaxed AcTcH3 crystal, from Alexandria via LeMat-Bulk.

Computed properties:
The calculation puts the density of states at the Fermi level at 0.3949 states/eV/atom. The value obtained for the calculated total energy is -5.17 eV per atom.

a b c (Å): 3.889 3.889 3.889
angles (deg): 90.00 90.00 90.00
Space group Pm-3m (No. 221)
Asymmetric unit:
Ac  0.000  0.000  0.000 (multiplicity 1)
Tc  0.500  0.500  0.500 (multiplicity 1)
H  0.000  0.500  0.500 (multiplicity 3)

---

(6)
The following is a GGA-PBE calculation of a relaxed Ac2TeH crystal, from Alexandria via LeMat-Bulk.

Computed properties:
The calculation puts the density of states at the Fermi level at 0.8563 states/eV/atom. The value obtained for the calculated total energy is -4.38 eV per atom.

a b c (Å): 4.2546 4.2546 26.0345
angles (deg): 90.00 90.00 120.00
Space group R3m (No. 160, hexagonal axes)
Asymmetric unit:
Ac  0.0000  0.0000  0.0000 (multiplicity 3)
Ac  0.0000  0.0000  0.1593 (multiplicity 3)
Te  0.0000  0.0000  0.5787 (multiplicity 3)
H  0.0000  0.0000  0.8162 (multiplicity 3)

---

(7)
The following is a GGA-PBE calculation of a relaxed Ac4Te5H2 crystal, from Alexandria via LeMat-Bulk.

Computed properties:
The value obtained for the calculated total energy is -4.74 eV per atom.

a b c (Å): 19.124 4.705 8.834
angles (deg): 90.00 96.73 90.00
Space group C2/m (No. 12)
Asymmetric unit:
Ac  0.024  0.000  0.253 (multiplicity 4)
Ac  0.210  0.500  0.228 (multiplicity 4)
Te  0.000  0.500  0.500 (multiplicity 2)
Te  0.140  0.000  0.971 (multiplicity 4)
Te  0.171  0.000  0.463 (multiplicity 4)
H  0.077  0.500  0.204 (multiplicity 4)

---

(8)
The following is a GGA-PBE calculation of a relaxed Ac2TeH crystal, from Alexandria via LeMat-Bulk.

Computed properties:
The calculation puts the density of states at the Fermi level at 0.5703 states/eV/atom. The value obtained for the calculated total energy is -4.53 eV per atom.

a b c (Å): 8.922 6.718 8.197
angles (deg): 90.00 101.08 90.00
Space group P2_1/c (No. 14)
Asymmetric unit:
Ac  0.061  0.166  0.328 (multiplicity 4)
Ac  0.330  0.666  0.513 (multiplicity 4)
Te  0.362  0.148  0.665 (multiplicity 4)
H  0.196  0.658  0.756 (multiplicity 4)

---

(9)
The following is a GGA-PBE calculation of a relaxed Ac2Te2H crystal, from Alexandria via LeMat-Bulk.

Computed properties:
The calculation puts the density of states at the Fermi level at 0.4609 states/eV/atom. The value obtained for the calculated total energy is -4.78 eV per atom.

a b c (Å): 4.402 20.726 6.962
angles (deg): 90.00 90.00 90.00
Space group Cmc2_1 (No. 36)
Asymmetric unit:
Ac  0.000  0.076  0.000 (multiplicity 4)
Ac  0.000  0.320  0.048 (multiplicity 4)
Te  0.000  0.301  0.537 (multiplicity 4)
Te  0.000  0.464  0.841 (multiplicity 4)
H  0.000  0.132  0.674 (multiplicity 4)

---

(10)
The following is a GGA-PBE calculation of a relaxed Ac12Te3H5 crystal, from Alexandria via LeMat-Bulk.

Computed properties:
The calculation puts the density of states at the Fermi level at 1.1470 states/eV/atom. The value obtained for the calculated total energy is -4.23 eV per atom.

a b c (Å): 17.314 17.314 17.314
angles (deg): 90.00 90.00 90.00
Space group Ia-3d (No. 230)
Asymmetric unit:
Ac  0.040  0.057  0.652 (multiplicity 96)
Te  0.000  0.250  0.125 (multiplicity 24)
H  0.000  0.000  0.000 (multiplicity 16)
H  0.000  0.250  0.375 (multiplicity 24)

---

(11)
The following is a GGA-PBE calculation of a relaxed Ac2TeH crystal, from Alexandria via LeMat-Bulk.

Computed properties:
The calculation puts the density of states at the Fermi level at 0.9504 states/eV/atom. The value obtained for the calculated total energy is -4.15 eV per atom.

a b c (Å): 3.938 3.938 7.583
angles (deg): 90.00 90.00 90.00
Space group P4/mmm (No. 123)
Asymmetric unit:
Ac  0.000  0.000  0.242 (multiplicity 2)
Te  0.500  0.500  0.500 (multiplicity 1)
H  0.500  0.500  0.000 (multiplicity 1)

---

(12)
The following is a GGA-PBE calculation of a relaxed Ac4Te5H crystal, from Alexandria via LeMat-Bulk.

Computed properties:
The calculation puts the density of states at the Fermi level at 0.2577 states/eV/atom. The value obtained for the calculated total energy is -4.80 eV per atom.

a b c (Å): 19.590 4.757 8.248
angles (deg): 90.00 99.89 90.00
Space group C2/m (No. 12)
Asymmetric unit:
Ac  0.018  0.000  0.233 (multiplicity 4)
Ac  0.203  0.500  0.738 (multiplicity 4)
Te  0.000  0.500  0.500 (multiplicity 2)
Te  0.147  0.000  0.978 (multiplicity 4)
Te  0.168  0.000  0.469 (multiplicity 4)
H  0.000  0.500  0.000 (multiplicity 2)